A plane-wave DFT calculation with PBE-GGA was carried out for an optimized crystal structure of Ho3Tm3Bi2Os.

Values from the calculation:
**Space group**: P-62m (189)
**Magnetization**: 0.1 μB per cell
**Density**: 10.8 g/cm3
**E above lowest polymorph**: 0.00 kcal/mol of atoms

Unit cell a=8.2203 b=8.2203 c=4.2311 alpha=90.00 beta=90.00 gamma=120.00
Last column: nearest neighbours and their distance in Å.
Fractional positions:
1 Ho 0.0000 0.6147 0.0000  1 Os 3.17, 4 Bi 3.32, 4 Tm 3.48
2 Ho 0.3853 0.3853 0.0000  1 Os 3.17, 4 Bi 3.32, 4 Tm 3.48
3 Ho 0.6147 0.0000 0.0000  1 Os 3.17, 4 Bi 3.32, 4 Tm 3.48
4 Tm 0.0000 0.2317 0.5000  2 Os 2.85
5 Tm 0.2317 0.0000 0.5000  2 Os 2.85
6 Tm 0.7683 0.7683 0.5000  2 Os 2.85
7 Bi 0.3333 0.6667 0.5000  3 Tm 3.24, 6 Ho 3.32
8 Bi 0.6667 0.3333 0.5000  3 Tm 3.24, 6 Ho 3.32
9 Os 0.0000 0.0000 0.0000  6 Tm 2.85, 3 Ho 3.17